DFT (SCAN) results for a PBEsol-optimized structure of AlTeI2Cl.

Cell: 5.2556 5.6793 5.6793 Å, 90.00 90.00 90.00°
With the nearest neighbours (Å) after each atom.
Fractional coordinates of all 5 atoms:
I 0.0000 0.0000 0.5000  2 Cl 2.84
I 0.0000 0.5000 0.0000  2 Cl 2.84
Te 0.5000 0.0000 0.0000  2 Cl 2.63
Al 0.5000 0.5000 0.5000  8 I 3.87, 4 Te 4.02
Cl 0.0000 0.0000 0.0000  2 Te 2.63, 4 I 2.84

Values from the calculation:
D(E_F) (states/eV/cell): 3.28
Total magnetization (μB/atom): 0.000
E (eV per atom): -24.7142